# 1
{"formula": "AcPr", "functional": "GGA-PBE", "state": "relaxed", "lattice": [[3.884, 0.000, 0.000], [0.000, 6.313, 0.000], [0.000, 0.000, 6.640]], "species": ["Ac", "Ac", "Pr", "Pr"], "frac_coords": [[0.250, 0.250, 0.094], [0.750, 0.750, 0.906], [0.250, 0.750, 0.415], [0.750, 0.250, 0.585]], "space_group": "Pmmn, No. 59", "e_above_lowest_polymorph_mev_per_atom": 0, "e_form_ev_per_fu": 0.08, "rho_g_cm3": 7.51, "total_energy_ev_per_atom": -4.403}

---

# 2
{"formula": "Ti3NbC", "functional": "GGA-PBE", "state": "relaxed", "lattice": [[4.718, 0.000, 0.000], [0.000, 4.718, 0.000], [0.000, 0.000, 4.718]], "species": ["Ti", "Ti", "Ti", "Nb", "C"], "frac_coords": [[0.000, 0.000, 0.500], [0.000, 0.500, 0.000], [0.500, 0.000, 0.000], [0.000, 0.000, 0.000], [0.500, 0.500, 0.500]], "space_group": "Pm-3m, No. 221", "e_above_lowest_polymorph_mev_per_atom": 2473, "e_form_ev_per_fu": 10.86, "rho_g_cm3": 3.93, "total_energy_ev_per_atom": -6.424}

---

# 3
{"formula": "CdAg2Cl", "functional": "GGA-PBE", "state": "relaxed", "lattice": [[4.767, 0.000, 0.000], [0.000, 3.229, 0.000], [-1.340, 0.000, 5.345]], "species": ["Cd", "Ag", "Ag", "Cl"], "frac_coords": [[0.000, 0.000, 0.000], [0.500, 0.000, 0.500], [0.500, 0.500, 0.000], [0.000, 0.500, 0.500]], "formation_energy_uncorrected_ev_per_atom": -0.06, "space_group": "P2/m, No. 10", "e_above_lowest_polymorph_mev_per_atom": 99, "rho_g_cm3": 7.34, "total_energy_ev_per_atom": -2.180}

---

# 4
{"formula": "HoMgGa2Ni2", "functional": "GGA-PBE", "state": "relaxed", "lattice": [[4.225, 0.000, 0.000], [-2.113, 3.659, 0.000], [0.000, 0.000, 6.500]], "species": ["Ho", "Mg", "Ga", "Ga", "Ni", "Ni"], "frac_coords": [[0.000, 0.000, 0.000], [0.000, 0.000, 0.500], [0.333, 0.667, 0.287], [0.667, 0.333, 0.713], [0.333, 0.667, 0.702], [0.667, 0.333, 0.298]], "space_group": "P-3m1, No. 164", "e_form_ev_per_fu": -2.92, "rho_g_cm3": 7.37, "total_energy_ev_per_atom": -4.451}

---

# 5
{"formula": "TaPt2Au", "functional": "GGA-PBE", "state": "relaxed", "lattice": [[1.438, 0.830, 9.357], [-1.438, 0.830, 9.357], [0.000, -1.661, 9.357]], "species": ["Ta", "Pt", "Pt", "Au"], "frac_coords": [[0.000, 0.000, 0.000], [0.497, 0.497, 0.497], [0.745, 0.745, 0.745], [0.248, 0.248, 0.248]], "space_group": "R3m, No. 160", "e_above_lowest_polymorph_mev_per_atom": 280, "e_form_ev_per_fu": -0.78, "rho_g_cm3": 19.02, "total_energy_ev_per_atom": -6.998}

---

# 6
{"formula": "Pt8Rh2Au", "functional": "GGA-PBE", "state": "relaxed", "lattice": [[-1.960, 3.920, 5.846], [1.960, -3.920, 5.846], [1.960, 3.920, -5.846]], "species": ["Pt", "Pt", "Pt", "Pt", "Pt", "Pt", "Pt", "Pt", "Rh", "Rh", "Au"], "frac_coords": [[0.099, 0.336, 0.763], [0.165, 0.165, 0.000], [0.276, 0.000, 0.276], [0.427, 0.664, 0.763], [0.573, 0.336, 0.237], [0.724, 0.000, 0.724], [0.835, 0.835, 0.000], [0.901, 0.664, 0.237], [0.334, 0.834, 0.500], [0.666, 0.166, 0.500], [0.000, 0.500, 0.500]], "space_group": "Immm, No. 71", "e_form_ev_per_fu": 1.11, "rho_g_cm3": 18.15, "total_energy_ev_per_atom": -5.927}